Entry from Alexandria via LeMat-Bulk: a relaxed B2P2S crystal (GGA-PBE).

Cell and atoms, written as CIF:
```
data_B2P2S
_space_group_name_H-M_alt 'P 1'
_space_group_IT_number 1
_space_group_name_Hall 'P 1'
_cell_length_a 3.2573
_cell_length_b 4.8453
_cell_length_c 4.8752
_cell_angle_alpha 74.66
_cell_angle_beta 71.26
_cell_angle_gamma 89.44
loop_
_atom_site_label
_atom_site_type_symbol
_atom_site_fract_x
_atom_site_fract_y
_atom_site_fract_z
B1 B 0.0000 0.0000 0.0000
B2 B 0.4148 0.4115 0.2573
P1 P 0.0163 0.5822 0.0269
P2 P 0.0601 0.3541 0.6855
S1 S 0.4073 0.0184 0.2548
```

**Crystal system**: triclinic
**Energy relative to the elements, uncorrected**: 0.001 eV/atom
**Relative energy among the computed polymorphs**: 0.153 eV/atom

Entry from Alexandria via LeMat-Bulk: a relaxed Ac7La12In crystal (GGA-PBE).

Cell and atoms, written as CIF:
```
data_Ac7La12In
_space_group_name_H-M_alt 'R -3'
_space_group_IT_number 148
_space_group_name_Hall '-R 3'
_cell_length_a 13.0704
_cell_length_b 13.0704
_cell_length_c 16.2646
_cell_angle_alpha 90.00
_cell_angle_beta 90.00
_cell_angle_gamma 120.00
loop_
_atom_site_label
_atom_site_type_symbol
_atom_site_fract_x
_atom_site_fract_y
_atom_site_fract_z
Ac1 Ac 0.0000 0.0000 0.0000
Ac2 Ac 0.0095 0.5776 0.7007
La1 La 0.0333 0.8481 0.8099
La2 La 0.0735 0.2542 0.4217
In1 In 0.0000 0.0000 0.5000
```

**Crystal system**: trigonal
**Energy of formation from the pure elements**: 0.1201 eV per atom

Entry from Alexandria via LeMat-Bulk: a relaxed CuBi2Sb crystal (GGA-PBE).

Cell and atoms, written as CIF:
```
data_CuBi2Sb
_space_group_name_H-M_alt 'R -3 m'
_space_group_IT_number 166
_space_group_name_Hall '-R 3 2"'
_cell_length_a 4.2598
_cell_length_b 4.2598
_cell_length_c 20.7040
_cell_angle_alpha 90.00
_cell_angle_beta 90.00
_cell_angle_gamma 120.00
loop_
_atom_site_label
_atom_site_type_symbol
_atom_site_fract_x
_atom_site_fract_y
_atom_site_fract_z
Cu1 Cu 0.0000 0.0000 0.0000
Bi1 Bi 0.0000 0.0000 0.2643
Sb1 Sb 0.0000 0.0000 0.5000
```

**Crystal system**: trigonal
**Energy relative to the elements, uncorrected**: 0.157 eV/atom
**Relative energy among the computed polymorphs**: 0.000 eV/atom

Entry from Alexandria via LeMat-Bulk: a relaxed La2YBeRe crystal (GGA-PBE).

Cell and atoms, written as CIF:
```
data_La2YBeRe
_space_group_name_H-M_alt 'P 4/m m m'
_space_group_IT_number 123
_space_group_name_Hall '-P 4 2'
_cell_length_a 5.6092
_cell_length_b 5.6092
_cell_length_c 4.4571
_cell_angle_alpha 90.00
_cell_angle_beta 90.00
_cell_angle_gamma 90.00
loop_
_atom_site_label
_atom_site_type_symbol
_atom_site_fract_x
_atom_site_fract_y
_atom_site_fract_z
La1 La 0.0000 0.5000 0.0000
Y1 Y 0.0000 0.0000 0.0000
Be1 Be 0.0000 0.0000 0.5000
Re1 Re 0.5000 0.5000 0.5000
```

**Crystal system**: tetragonal
**Energy of formation from the pure elements**: 1.8634 eV per atom

Entry from Alexandria via LeMat-Bulk: a relaxed Zr2BI crystal (GGA-PBE).

Cell and atoms, written as CIF:
```
data_Zr2BI
_space_group_name_H-M_alt 'I -4 2 d'
_space_group_IT_number 122
_space_group_name_Hall 'I -4 2bw'
_cell_length_a 5.9647
_cell_length_b 5.9647
_cell_length_c 11.3140
_cell_angle_alpha 90.00
_cell_angle_beta 90.00
_cell_angle_gamma 90.00
loop_
_atom_site_label
_atom_site_type_symbol
_atom_site_fract_x
_atom_site_fract_y
_atom_site_fract_z
Zr1 Zr 0.1550 0.2500 0.1250
B1 B 0.0000 0.0000 0.0000
I1 I 0.0000 0.0000 0.5000
```

**Crystal system**: tetragonal
**Energy relative to the elements, uncorrected**: 0.122 eV/atom
**Relative energy among the computed polymorphs**: 0.000 eV/atom

Entry from Alexandria via LeMat-Bulk: a relaxed Li2Pa2NbN6 crystal (GGA-PBE).

Cell and atoms, written as CIF:
```
data_Li2Pa2NbN6
_space_group_name_H-M_alt 'C 1 2/m 1'
_space_group_IT_number 12
_space_group_name_Hall '-C 2y'
_cell_length_a 5.9369
_cell_length_b 10.2868
_cell_length_c 5.2630
_cell_angle_alpha 90.00
_cell_angle_beta 107.08
_cell_angle_gamma 90.00
loop_
_atom_site_label
_atom_site_type_symbol
_atom_site_fract_x
_atom_site_fract_y
_atom_site_fract_z
Li1 Li 0.0000 0.1356 0.0000
Pa1 Pa 0.0000 0.3352 0.5000
Nb1 Nb 0.0000 0.0000 0.5000
N1 N 0.2069 0.1631 0.7024
N2 N 0.2502 0.0000 0.2914
```

**Crystal system**: monoclinic
**Energy relative to the elements, uncorrected**: -0.984 eV/atom